# In2BiRhBr (PBE-GGA, relaxed)
# **Total magnetic moment**: 0.00 μB/f.u.
# **Formation energy from raw total energies**: -1.320 eV per formula unit
# **Symmetry**: P4/mmm (123)
data_In2BiRhBr
_chemical_formula_sum 'In2 Bi1 Rh1 Br1'
_space_group_name_H-M_alt 'P 1'
_space_group_IT_number 1
_space_group_name_Hall 'P 1'
_cell_length_a 5.231
_cell_length_b 5.231
_cell_length_c 5.255
_cell_angle_alpha 90.00
_cell_angle_beta 90.00
_cell_angle_gamma 90.00
loop_
_atom_site_label
_atom_site_fract_x
_atom_site_fract_y
_atom_site_fract_z
Rh1 0.000 0.000 0.000
Bi1 0.000 0.000 0.500
Br1 0.500 0.500 0.500
In1 0.000 0.500 0.000
In2 0.500 0.000 0.000